A geometry-optimized LuFeCuGe structure, computed with GGA-PBE.

Calculated values
Its symmetry is F-43m (216). As for the relative energy among the computed polymorphs: 45 meV/atom.

Lattice parameters (Å, degrees): 6.267 6.267 6.267 90.00 90.00 90.00
Fractional coordinates of all 16 atoms:
Lu1 0.000 0.000 0.000
Lu2 0.000 0.500 0.500
Lu3 0.500 0.000 0.500
Lu4 0.500 0.500 0.000
Fe1 0.250 0.250 0.250
Fe2 0.250 0.750 0.750
Fe3 0.750 0.250 0.750
Fe4 0.750 0.750 0.250
Cu1 0.250 0.250 0.750
Cu2 0.250 0.750 0.250
Cu3 0.750 0.250 0.250
Cu4 0.750 0.750 0.750
Ge1 0.000 0.000 0.500
Ge2 0.000 0.500 0.000
Ge3 0.500 0.000 0.000
Ge4 0.500 0.500 0.500

=====

A geometry-optimized LuFeCuGe structure, computed with GGA-PBE.

Calculated values
Its symmetry is F-43m (216). As for the relative energy among the computed polymorphs: 0 meV/atom.

Lattice parameters (Å, degrees): 6.376 6.376 6.376 90.00 90.00 90.00
Fractional coordinates of all 16 atoms:
Lu1 0.000 0.000 0.000
Lu2 0.000 0.500 0.500
Lu3 0.500 0.000 0.500
Lu4 0.500 0.500 0.000
Fe1 0.000 0.000 0.500
Fe2 0.000 0.500 0.000
Fe3 0.500 0.000 0.000
Fe4 0.500 0.500 0.500
Cu1 0.250 0.250 0.750
Cu2 0.250 0.750 0.250
Cu3 0.750 0.250 0.250
Cu4 0.750 0.750 0.750
Ge1 0.250 0.250 0.250
Ge2 0.250 0.750 0.750
Ge3 0.750 0.250 0.750
Ge4 0.750 0.750 0.250

=====

A geometry-optimized MgFeCu4Ge2 structure, computed with GGA-PBE.

Calculated values
Its symmetry is P4/mmm (123).

Lattice parameters (Å, degrees): 4.245 4.245 6.084 90.00 90.00 90.00
Fractional coordinates of all 8 atoms:
Mg1 0.000 0.000 0.000
Fe1 0.500 0.500 0.500
Cu1 0.000 0.500 0.263
Cu2 0.000 0.500 0.737
Cu3 0.500 0.000 0.263
Cu4 0.500 0.000 0.737
Ge1 0.000 0.000 0.500
Ge2 0.500 0.500 0.000

=====

A geometry-optimized FeCuGeMo structure, computed with GGA-PBE.

Calculated values
Its symmetry is F-43m (216). As for the relative energy among the computed polymorphs: 0 meV/atom.

Lattice parameters (Å, degrees): 6.010 6.010 6.010 90.00 90.00 90.00
Fractional coordinates of all 16 atoms:
Fe1 0.000 0.000 0.000
Fe2 0.000 0.500 0.500
Fe3 0.500 0.000 0.500
Fe4 0.500 0.500 0.000
Cu1 0.250 0.250 0.750
Cu2 0.250 0.750 0.250
Cu3 0.750 0.250 0.250
Cu4 0.750 0.750 0.750
Ge1 0.000 0.000 0.500
Ge2 0.000 0.500 0.000
Ge3 0.500 0.000 0.000
Ge4 0.500 0.500 0.500
Mo1 0.250 0.250 0.250
Mo2 0.250 0.750 0.750
Mo3 0.750 0.250 0.750
Mo4 0.750 0.750 0.250

=====

A geometry-optimized NbFeCuGe structure, computed with GGA-PBE.

Calculated values
Its symmetry is F-43m (216). As for the relative energy among the computed polymorphs: 110 meV/atom.

Lattice parameters (Å, degrees): 6.094 6.094 6.094 90.00 90.00 90.00
Fractional coordinates of all 16 atoms:
Nb1 0.000 0.000 0.000
Nb2 0.000 0.500 0.500
Nb3 0.500 0.000 0.500
Nb4 0.500 0.500 0.000
Fe1 0.000 0.000 0.500
Fe2 0.000 0.500 0.000
Fe3 0.500 0.000 0.000
Fe4 0.500 0.500 0.500
Cu1 0.250 0.250 0.750
Cu2 0.250 0.750 0.250
Cu3 0.750 0.250 0.250
Cu4 0.750 0.750 0.750
Ge1 0.250 0.250 0.250
Ge2 0.250 0.750 0.750
Ge3 0.750 0.250 0.750
Ge4 0.750 0.750 0.250

=====

A geometry-optimized NbFeCuGe structure, computed with GGA-PBE.

Calculated values
Its symmetry is F-43m (216). As for the relative energy among the computed polymorphs: 0 meV/atom.

Lattice parameters (Å, degrees): 6.009 6.009 6.009 90.00 90.00 90.00
Fractional coordinates of all 16 atoms:
Nb1 0.000 0.000 0.000
Nb2 0.000 0.500 0.500
Nb3 0.500 0.000 0.500
Nb4 0.500 0.500 0.000
Fe1 0.250 0.250 0.250
Fe2 0.250 0.750 0.750
Fe3 0.750 0.250 0.750
Fe4 0.750 0.750 0.250
Cu1 0.250 0.250 0.750
Cu2 0.250 0.750 0.250
Cu3 0.750 0.250 0.250
Cu4 0.750 0.750 0.750
Ge1 0.000 0.000 0.500
Ge2 0.000 0.500 0.000
Ge3 0.500 0.000 0.000
Ge4 0.500 0.500 0.500

=====

A geometry-optimized Nd2FeCuGe4 structure, computed with GGA-PBE.

Calculated values
Its symmetry is Amm2 (38).

Lattice parameters (Å, degrees): 4.269 4.258 16.868 90.00 90.00 90.00
Fractional coordinates of all 16 atoms:
Nd1 0.000 0.000 0.000
Nd2 0.000 0.500 0.500
Nd3 0.500 0.000 0.215
Nd4 0.500 0.500 0.715
Fe1 0.500 0.000 0.421
Fe2 0.500 0.500 0.921
Cu1 0.000 0.000 0.781
Cu2 0.000 0.500 0.281
Ge1 0.000 0.000 0.360
Ge2 0.000 0.000 0.642
Ge3 0.000 0.500 0.142
Ge4 0.000 0.500 0.860
Ge5 0.500 0.000 0.557
Ge6 0.500 0.000 0.859
Ge7 0.500 0.500 0.057
Ge8 0.500 0.500 0.359

=====

A geometry-optimized FeCuNiGe structure, computed with GGA-PBE.

Calculated values
Its symmetry is F-43m (216). As for the relative energy among the computed polymorphs: 64 meV/atom.

Lattice parameters (Å, degrees): 5.731 5.731 5.731 90.00 90.00 90.00
Fractional coordinates of all 16 atoms:
Fe1 0.000 0.000 0.000
Fe2 0.000 0.500 0.500
Fe3 0.500 0.000 0.500
Fe4 0.500 0.500 0.000
Cu1 0.000 0.000 0.500
Cu2 0.000 0.500 0.000
Cu3 0.500 0.000 0.000
Cu4 0.500 0.500 0.500
Ni1 0.250 0.250 0.250
Ni2 0.250 0.750 0.750
Ni3 0.750 0.250 0.750
Ni4 0.750 0.750 0.250
Ge1 0.250 0.250 0.750
Ge2 0.250 0.750 0.250
Ge3 0.750 0.250 0.250
Ge4 0.750 0.750 0.750

=====

A geometry-optimized FeCuNiGe structure, computed with GGA-PBE.

Calculated values
Its symmetry is F-43m (216). As for the relative energy among the computed polymorphs: 0 meV/atom.

Lattice parameters (Å, degrees): 5.768 5.768 5.768 90.00 90.00 90.00
Fractional coordinates of all 16 atoms:
Fe1 0.000 0.000 0.000
Fe2 0.000 0.500 0.500
Fe3 0.500 0.000 0.500
Fe4 0.500 0.500 0.000
Cu1 0.250 0.250 0.250
Cu2 0.250 0.750 0.750
Cu3 0.750 0.250 0.750
Cu4 0.750 0.750 0.250
Ni1 0.000 0.000 0.500
Ni2 0.000 0.500 0.000
Ni3 0.500 0.000 0.000
Ni4 0.500 0.500 0.500
Ge1 0.250 0.250 0.750
Ge2 0.250 0.750 0.250
Ge3 0.750 0.250 0.250
Ge4 0.750 0.750 0.750

=====

A geometry-optimized FeCu4NiGe2 structure, computed with GGA-PBE.

Calculated values
Its symmetry is P4/mmm (123).

Lattice parameters (Å, degrees): 4.095 4.095 5.875 90.00 90.00 90.00
Fractional coordinates of all 8 atoms:
Fe1 0.000 0.000 0.000
Cu1 0.000 0.500 0.255
Cu2 0.000 0.500 0.745
Cu3 0.500 0.000 0.255
Cu4 0.500 0.000 0.745
Ni1 0.500 0.500 0.500
Ge1 0.000 0.000 0.500
Ge2 0.500 0.500 0.000

=====

A geometry-optimized FeCuGeOs structure, computed with GGA-PBE.

Calculated values
Its symmetry is F-43m (216). As for the relative energy among the computed polymorphs: 0 meV/atom.

Lattice parameters (Å, degrees): 5.967 5.967 5.967 90.00 90.00 90.00
Fractional coordinates of all 16 atoms:
Fe1 0.000 0.000 0.000
Fe2 0.000 0.500 0.500
Fe3 0.500 0.000 0.500
Fe4 0.500 0.500 0.000
Cu1 0.250 0.250 0.750
Cu2 0.250 0.750 0.250
Cu3 0.750 0.250 0.250
Cu4 0.750 0.750 0.750
Ge1 0.000 0.000 0.500
Ge2 0.000 0.500 0.000
Ge3 0.500 0.000 0.000
Ge4 0.500 0.500 0.500
Os1 0.250 0.250 0.250
Os2 0.250 0.750 0.750
Os3 0.750 0.250 0.750
Os4 0.750 0.750 0.250

=====

A geometry-optimized FeCuGeOs structure, computed with GGA-PBE.

Calculated values
Its symmetry is F-43m (216). As for the relative energy among the computed polymorphs: 34 meV/atom.

Lattice parameters (Å, degrees): 5.911 5.911 5.911 90.00 90.00 90.00
Fractional coordinates of all 16 atoms:
Fe1 0.000 0.000 0.000
Fe2 0.000 0.500 0.500
Fe3 0.500 0.000 0.500
Fe4 0.500 0.500 0.000
Cu1 0.250 0.250 0.250
Cu2 0.250 0.750 0.750
Cu3 0.750 0.250 0.750
Cu4 0.750 0.750 0.250
Ge1 0.250 0.250 0.750
Ge2 0.250 0.750 0.250
Ge3 0.750 0.250 0.250
Ge4 0.750 0.750 0.750
Os1 0.000 0.000 0.500
Os2 0.000 0.500 0.000
Os3 0.500 0.000 0.000
Os4 0.500 0.500 0.500

=====

no.,mass density (kg/m³),electronic total energy (eV per atom)
1,9904,-5.39
2,9405,-5.43
3,7265,-4.17
4,8811,-6.70
5,8361,-6.62
6,8722,-6.73
7,7565,-5.56
8,8845,-5.54
9,8680,-5.60
10,8664,-4.64
11,11953,-6.80
12,12296,-6.77